# CuRu3S (GGA-PBEsol, optimized geometry)
data_CuRu3S
_space_group_name_H-M_alt 'P m -3 m'
_space_group_IT_number 221
_space_group_name_Hall '-P 4 2 3'
_cell_length_a 4.2376
_cell_length_b 4.2376
_cell_length_c 4.2376
_cell_angle_alpha 90.00
_cell_angle_beta 90.00
_cell_angle_gamma 90.00
loop_
_atom_site_label
_atom_site_type_symbol
_atom_site_fract_x
_atom_site_fract_y
_atom_site_fract_z
_atom_site_occupancy
Cu1 Cu 0.0000 0.0000 0.0000 1
Ru1 Ru 0.0000 0.5000 0.5000 1
S1 S 0.5000 0.5000 0.5000 1
# Total energy in eV/atom: -7.16
# Formation energy from raw total energies in eV per atom: 0.68
# V in Å³ per atom: 15.22

# TcTe2W (GGA-PBEsol, optimized geometry)
data_TcTe2W
_space_group_name_H-M_alt 'C 1 2/m 1'
_space_group_IT_number 12
_cell_length_a 6.1812
_cell_length_b 8.6756
_cell_length_c 3.2266
_cell_angle_alpha 90.00
_cell_angle_beta 118.24
_cell_angle_gamma 90.00
loop_
_space_group_symop_operation_xyz
'x,y,z'
'-x,-y,-z'
'-x,y,-z'
'x,-y,z'
'x+1/2,y+1/2,z'
'-x+1/2,-y+1/2,-z'
'-x+1/2,y+1/2,-z'
'x+1/2,-y+1/2,z'
loop_
_atom_site_label
_atom_site_type_symbol
_atom_site_fract_x
_atom_site_fract_y
_atom_site_fract_z
_atom_site_occupancy
Tc1 Tc 0.0000 0.0000 0.0000 1
Te1 Te 0.2500 0.2500 0.5000 1
W1 W 0.0000 0.5000 0.0000 1
# Total energy in eV/atom: -6.99
# Formation energy from raw total energies in eV per atom: 1.04
# V in Å³ per atom: 19.05
# Energy above the lowest structure with this stoichiometry in eV/f.u.: 2.251

# Ta2ReBr (GGA-PBEsol, optimized geometry)
data_Ta2ReBr
_space_group_name_H-M_alt 'I -4 m 2'
_space_group_IT_number 119
_space_group_name_Hall 'I -4 -2'
_cell_length_a 3.7971
_cell_length_b 3.7971
_cell_length_c 9.3549
_cell_angle_alpha 90.00
_cell_angle_beta 90.00
_cell_angle_gamma 90.00
loop_
_atom_site_label
_atom_site_type_symbol
_atom_site_fract_x
_atom_site_fract_y
_atom_site_fract_z
_atom_site_occupancy
Ta1 Ta 0.0000 0.0000 0.0000 1
Ta2 Ta 0.0000 0.5000 0.2500 1
Re1 Re 0.0000 0.5000 0.7500 1
Br1 Br 0.0000 0.0000 0.5000 1
# Total energy in eV/atom: -9.26
# Formation energy from raw total energies in eV per atom: 0.81
# V in Å³ per atom: 16.86
# Energy above the lowest structure with this stoichiometry in eV/f.u.: 1.319

# YInN2F (GGA-PBEsol, optimized geometry)
data_YInN2F
_space_group_name_H-M_alt 'P 4/m m m'
_space_group_IT_number 123
_space_group_name_Hall '-P 4 2'
_cell_length_a 4.4330
_cell_length_b 4.4330
_cell_length_c 4.1752
_cell_angle_alpha 90.00
_cell_angle_beta 90.00
_cell_angle_gamma 90.00
loop_
_atom_site_label
_atom_site_type_symbol
_atom_site_fract_x
_atom_site_fract_y
_atom_site_fract_z
_atom_site_occupancy
Y1 Y 0.0000 0.0000 0.0000 1
In1 In 0.5000 0.5000 0.5000 1
N1 N 0.0000 0.5000 0.0000 1
F1 F 0.0000 0.0000 0.5000 1
# Total energy in eV/atom: -6.18
# Formation energy from raw total energies in eV per atom: -0.42
# V in Å³ per atom: 16.41
# Energy above the lowest structure with this stoichiometry in eV/f.u.: 1.002

# ScMo2Br (GGA-PBEsol, optimized geometry)
data_ScMo2Br
_space_group_name_H-M_alt 'P 4/m m m'
_space_group_IT_number 123
_space_group_name_Hall '-P 4 2'
_cell_length_a 3.6805
_cell_length_b 3.6805
_cell_length_c 5.0340
_cell_angle_alpha 90.00
_cell_angle_beta 90.00
_cell_angle_gamma 90.00
loop_
_atom_site_label
_atom_site_type_symbol
_atom_site_fract_x
_atom_site_fract_y
_atom_site_fract_z
_atom_site_occupancy
Sc1 Sc 0.0000 0.0000 0.0000 1
Mo1 Mo 0.0000 0.5000 0.5000 1
Br1 Br 0.5000 0.5000 0.0000 1
# Total energy in eV/atom: -7.68
# Formation energy from raw total energies in eV per atom: 0.32
# V in Å³ per atom: 17.05
# Energy above the lowest structure with this stoichiometry in eV/f.u.: 0.000

# HgPb2Au (GGA-PBEsol, optimized geometry)
data_HgPb2Au
_space_group_name_H-M_alt 'C 1 2/m 1'
_space_group_IT_number 12
_cell_length_a 8.3550
_cell_length_b 3.7584
_cell_length_c 6.8832
_cell_angle_alpha 90.00
_cell_angle_beta 103.66
_cell_angle_gamma 90.00
loop_
_space_group_symop_operation_xyz
'x,y,z'
'-x,-y,-z'
'-x,y,-z'
'x,-y,z'
'x+1/2,y+1/2,z'
'-x+1/2,-y+1/2,-z'
'-x+1/2,y+1/2,-z'
'x+1/2,-y+1/2,z'
loop_
_atom_site_label
_atom_site_type_symbol
_atom_site_fract_x
_atom_site_fract_y
_atom_site_fract_z
_atom_site_occupancy
Hg1 Hg 0.0000 0.0000 0.0000 1
Pb1 Pb 0.2384 0.0000 0.7168 1
Au1 Au 0.0000 0.5000 0.5000 1
# Formation enthalpy at 0 K in eV/f.u.: 0.0
# Total energy in eV/atom: -3.12
# V in Å³ per atom: 26.25
# Energy above the lowest structure with this stoichiometry in eV/f.u.: 0.059

# Cd4AsRu (GGA-PBEsol, optimized geometry)
data_Cd4AsRu
_space_group_name_H-M_alt 'F -4 3 m'
_space_group_IT_number 216
_space_group_name_Hall 'F -4 2 3'
_cell_length_a 7.6902
_cell_length_b 7.6902
_cell_length_c 7.6902
_cell_angle_alpha 90.00
_cell_angle_beta 90.00
_cell_angle_gamma 90.00
loop_
_atom_site_label
_atom_site_type_symbol
_atom_site_fract_x
_atom_site_fract_y
_atom_site_fract_z
_atom_site_occupancy
Cd1 Cd 0.1244 0.1244 0.1244 1
As1 As 0.0000 0.0000 0.5000 1
Ru1 Ru 0.2500 0.2500 0.7500 1
# Formation enthalpy at 0 K in eV/f.u.: 3.0
# Total energy in eV/atom: -2.84
# V in Å³ per atom: 18.95

# Al2InN3 (GGA-PBEsol, optimized geometry)
data_Al2InN3
_space_group_name_H-M_alt 'C m c 21'
_space_group_IT_number 36
_cell_length_a 9.7592
_cell_length_b 5.6118
_cell_length_c 5.2067
_cell_angle_alpha 90.00
_cell_angle_beta 90.00
_cell_angle_gamma 90.00
loop_
_space_group_symop_operation_xyz
'x,y,z'
'-x,-y,z+1/2'
'-x,y,z'
'x,-y,z+1/2'
'x+1/2,y+1/2,z'
'-x+1/2,-y+1/2,z+1/2'
'-x+1/2,y+1/2,z'
'x+1/2,-y+1/2,z+1/2'
loop_
_atom_site_label
_atom_site_type_symbol
_atom_site_fract_x
_atom_site_fract_y
_atom_site_fract_z
_atom_site_occupancy
Al1 Al 0.1714 0.1635 0.0000 1
In1 In 0.0000 0.3223 0.5045 1
N1 N 0.0000 0.2997 0.0865 1
N2 N 0.1845 0.1490 0.6353 1
# Total energy in eV/atom: -7.14
# Formation energy from raw total energies in eV per atom: -1.02
# V in Å³ per atom: 11.88

# CuTc2Sb (GGA-PBEsol, optimized geometry)
data_CuTc2Sb
_space_group_name_H-M_alt 'P 4 m m'
_space_group_IT_number 99
_cell_length_a 3.1665
_cell_length_b 3.1665
_cell_length_c 5.9561
_cell_angle_alpha 90.00
_cell_angle_beta 90.00
_cell_angle_gamma 90.00
loop_
_space_group_symop_operation_xyz
'x,y,z'
'-y,x,z'
'-x,-y,z'
'y,-x,z'
'-x,y,z'
'y,x,z'
'x,-y,z'
'-y,-x,z'
loop_
_atom_site_label
_atom_site_type_symbol
_atom_site_fract_x
_atom_site_fract_y
_atom_site_fract_z
_atom_site_occupancy
Cu1 Cu 0.0000 0.0000 0.0000 1
Tc1 Tc 0.0000 0.0000 0.5380 1
Tc2 Tc 0.5000 0.5000 0.7802 1
Sb1 Sb 0.5000 0.5000 0.2548 1
# Total energy in eV/atom: -7.64
# Formation energy from raw total energies in eV per atom: 0.22
# V in Å³ per atom: 14.93

# YHg3 (GGA-PBEsol, optimized geometry)
data_YHg3
_space_group_name_H-M_alt 'I 4/m m m'
_space_group_IT_number 139
_space_group_name_Hall '-I 4 2'
_cell_length_a 4.9507
_cell_length_b 4.9507
_cell_length_c 7.2573
_cell_angle_alpha 90.00
_cell_angle_beta 90.00
_cell_angle_gamma 90.00
loop_
_atom_site_label
_atom_site_type_symbol
_atom_site_fract_x
_atom_site_fract_y
_atom_site_fract_z
_atom_site_occupancy
Y1 Y 0.0000 0.0000 0.0000 1
Hg1 Hg 0.0000 0.0000 0.5000 1
Hg2 Hg 0.0000 0.5000 0.2500 1
# Formation enthalpy at 0 K in eV/f.u.: -1.8
# Total energy in eV/atom: -2.57
# V in Å³ per atom: 22.23

# Cs2Rb2Hg (GGA-PBEsol, optimized geometry)
data_Cs2Rb2Hg
_space_group_name_H-M_alt 'P 4/m b m'
_space_group_IT_number 127
_space_group_name_Hall '-P 4 2ab'
_cell_length_a 9.7988
_cell_length_b 9.7988
_cell_length_c 7.9319
_cell_angle_alpha 90.00
_cell_angle_beta 90.00
_cell_angle_gamma 90.00
loop_
_atom_site_label
_atom_site_type_symbol
_atom_site_fract_x
_atom_site_fract_y
_atom_site_fract_z
_atom_site_occupancy
Cs1 Cs 0.1632 0.3368 0.0000 1
Rb1 Rb 0.1791 0.6791 0.5000 1
Hg1 Hg 0.0000 0.0000 0.0000 1
# Formation enthalpy at 0 K in eV/f.u.: 0.1
# Total energy in eV/atom: -0.88
# V in Å³ per atom: 76.16

# ReAg2Ir (GGA-PBEsol, optimized geometry)
data_ReAg2Ir
_space_group_name_H-M_alt 'P m m 2'
_space_group_IT_number 25
_cell_length_a 2.7517
_cell_length_b 3.9005
_cell_length_c 5.7479
_cell_angle_alpha 90.00
_cell_angle_beta 90.00
_cell_angle_gamma 90.00
loop_
_space_group_symop_operation_xyz
'x,y,z'
'-x,-y,z'
'-x,y,z'
'x,-y,z'
loop_
_atom_site_label
_atom_site_type_symbol
_atom_site_fract_x
_atom_site_fract_y
_atom_site_fract_z
_atom_site_occupancy
Re1 Re 0.0000 0.0000 0.0000 1
Ag1 Ag 0.0000 0.0000 0.5246 1
Ag2 Ag 0.5000 0.5000 0.2893 1
Ir1 Ir 0.5000 0.5000 0.8163 1
# Formation enthalpy at 0 K in eV/f.u.: 1.1
# Total energy in eV/atom: -7.16
# V in Å³ per atom: 15.42

# KCaSi2 (GGA-PBEsol, optimized geometry)
data_KCaSi2
_space_group_name_H-M_alt 'I -4 m 2'
_space_group_IT_number 119
_space_group_name_Hall 'I -4 -2'
_cell_length_a 4.6017
_cell_length_b 4.6017
_cell_length_c 9.0020
_cell_angle_alpha 90.00
_cell_angle_beta 90.00
_cell_angle_gamma 90.00
loop_
_atom_site_label
_atom_site_type_symbol
_atom_site_fract_x
_atom_site_fract_y
_atom_site_fract_z
_atom_site_occupancy
K1 K 0.0000 0.0000 0.0000 1
Ca1 Ca 0.0000 0.5000 0.7500 1
Si1 Si 0.0000 0.0000 0.5000 1
Si2 Si 0.0000 0.5000 0.2500 1
# Total energy in eV/atom: -3.38
# Formation energy from raw total energies in eV per atom: 0.31
# V in Å³ per atom: 23.83
# Energy above the lowest structure with this stoichiometry in eV/f.u.: 0.252

# Ba2MgRe (GGA-PBEsol, optimized geometry)
data_Ba2MgRe
_space_group_name_H-M_alt 'P 4 m m'
_space_group_IT_number 99
_cell_length_a 3.7093
_cell_length_b 3.7093
_cell_length_c 9.0984
_cell_angle_alpha 90.00
_cell_angle_beta 90.00
_cell_angle_gamma 90.00
loop_
_space_group_symop_operation_xyz
'x,y,z'
'-y,x,z'
'-x,-y,z'
'y,-x,z'
'-x,y,z'
'y,x,z'
'x,-y,z'
'-y,-x,z'
loop_
_atom_site_label
_atom_site_type_symbol
_atom_site_fract_x
_atom_site_fract_y
_atom_site_fract_z
_atom_site_occupancy
Ba1 Ba 0.0000 0.0000 0.0000 1
Ba2 Ba 0.5000 0.5000 0.4183 1
Mg1 Mg 0.0000 0.0000 0.6637 1
Re1 Re 0.5000 0.5000 0.7570 1
# Formation enthalpy at 0 K in eV/f.u.: 2.9
# Total energy in eV/atom: -4.11
# V in Å³ per atom: 31.30